[1]
The following is a DFT calculation (PBE) of NaAl2V2 after structural relaxation.

Unit cell a=8.0354 b=8.0354 c=2.6680 alpha=90.00 beta=90.00 gamma=90.00
Last column: nearest neighbours and their distance in Å.
Positions (direct):
V  0.3945  0.1055  0.5000  3 V 2.40-2.67
V  0.6055  0.8945  0.5000  3 V 2.40-2.67
V  0.8945  0.3945  0.5000  3 V 2.40-2.67
V  0.1055  0.6055  0.5000  3 V 2.40-2.67
Na  0.0000  0.0000  0.0000  2 Na 2.67, 4 Al 2.94
Na  0.5000  0.5000  0.0000  2 Na 2.67, 4 Al 2.94
Al  0.3174  0.8174  0.0000  2 Al 2.67, 6 V 2.74-2.75, 2 Na 2.94
Al  0.1826  0.3174  0.0000  2 Al 2.67, 6 V 2.74-2.75, 2 Na 2.94
Al  0.6826  0.1826  0.0000  2 Al 2.67, 6 V 2.74-2.75, 2 Na 2.94
Al  0.8174  0.6826  0.0000  2 Al 2.67, 6 V 2.74-2.75, 2 Na 2.94

Calculated values
**DFT total energy**: -52.8 eV for the cell shown
**Magnetization**: 0.00 μB per cell

[2]
The following is a DFT calculation (PBE) of NaAlV3 after structural relaxation.

Unit cell a=4.6499 b=4.6499 c=4.6499 alpha=90.00 beta=90.00 gamma=90.00
Last column: nearest neighbours and their distance in Å.
Positions (direct):
Na  0.5000  0.5000  0.5000  12 V 3.29
Al  0.0000  0.0000  0.0000  6 V 2.32
V  0.5000  0.0000  0.0000  2 Al 2.32
V  0.0000  0.0000  0.5000  2 Al 2.32
V  0.0000  0.5000  0.0000  2 Al 2.32

Calculated values
**DFT total energy**: -25.2 eV for the cell shown
**Magnetization**: 0.79 μB per cell

[3]
The following is a DFT calculation (PBE) of NaAl2V2 after structural relaxation.

Unit cell a=4.0213 b=4.0213 c=6.3078 alpha=71.41 beta=71.41 gamma=90.00
Last column: nearest neighbours and their distance in Å.
Positions (direct):
V  0.4155  0.4155  0.1690  1 V 1.90
V  0.5845  0.5845  0.8310  1 V 1.90
Na  0.0000  0.0000  0.0000  8 V 3.00
Al  0.2500  0.7500  0.5000  4 V 2.74, 4 Al 2.84
Al  0.7500  0.2500  0.5000  4 V 2.74, 4 Al 2.84

Calculated values
**DFT total energy**: -24.1 eV for the cell shown
**Magnetization**: 0.00 μB per cell

[4]
The following is a DFT calculation (PBE) of NaAlV3 after structural relaxation.

Unit cell a=4.4206 b=4.4206 c=4.4206 alpha=90.00 beta=90.00 gamma=90.00
Last column: nearest neighbours and their distance in Å.
Positions (direct):
Na  0.0000  0.0000  0.0000  6 V 2.21
Al  0.5000  0.5000  0.5000  12 V 3.13
V  0.5000  0.0000  0.0000  2 Na 2.21
V  0.0000  0.5000  0.0000  2 Na 2.21
V  0.0000  0.0000  0.5000  2 Na 2.21

Calculated values
**DFT total energy**: -22.6 eV for the cell shown
**Magnetization**: 0.00 μB per cell

[5]
The following is a DFT calculation (PBE) of NaAl2V2 after structural relaxation.

Unit cell a=7.9837 b=7.9837 c=2.6810 alpha=90.00 beta=90.00 gamma=90.00
Last column: nearest neighbours and their distance in Å.
Positions (direct):
Na  0.5000  0.5000  0.0000  2 Na 2.68
Na  0.0000  0.0000  0.0000  2 Na 2.68
Al  0.8155  0.3155  0.5000  2 Al 2.68, 6 V 2.73-2.74
Al  0.6845  0.8155  0.5000  2 Al 2.68, 6 V 2.73-2.74
Al  0.3155  0.1845  0.5000  2 Al 2.68, 6 V 2.73-2.74
Al  0.1845  0.6845  0.5000  2 Al 2.68, 6 V 2.73-2.74
V  0.3955  0.8955  0.0000  1 V 2.36
V  0.8955  0.6045  0.0000  1 V 2.36
V  0.6045  0.1045  0.0000  1 V 2.36
V  0.1045  0.3955  0.0000  1 V 2.36

Calculated values
**DFT total energy**: -53.1 eV for the cell shown
**Magnetization**: 0.00 μB per cell

[6]
The following is a DFT calculation (PBE) of NaAlV2W after structural relaxation.

Unit cell a=4.6209 b=5.2996 c=4.6209 alpha=90.00 beta=90.00 gamma=90.00
Last column: nearest neighbours and their distance in Å.
Positions (direct):
W  0.0000  0.0000  0.0000  4 V 2.31
V  0.0000  0.0000  0.5000  2 W 2.31
V  0.5000  0.0000  0.0000  2 W 2.31
Al  0.5000  0.5000  0.5000  4 Na 3.27, 8 V 3.52
Na  0.0000  0.5000  0.0000  2 W 2.65

Calculated values
**DFT total energy**: -28.5 eV for the cell shown
**Magnetization**: 2.15 μB per cell

[7]
The following is a DFT calculation (PBE) of NaAl2W after structural relaxation.

Unit cell a=4.5758 b=4.5758 c=4.5758 alpha=60.00 beta=60.00 gamma=60.00
Last column: nearest neighbours and their distance in Å.
Positions (direct):
Na  0.0000  0.0000  0.0000  8 Al 2.80
Al  0.7500  0.7500  0.7500  4 W 2.80, 4 Na 2.80
Al  0.2500  0.2500  0.2500  4 W 2.80, 4 Na 2.80
W  0.5000  0.5000  0.5000  8 Al 2.80

Calculated values
**DFT total energy**: -19.7 eV for the cell shown
**Magnetization**: 0.95 μB per cell

[8]
The following is a DFT calculation (PBE) of NaAl2W after structural relaxation.

Unit cell a=4.2819 b=4.2819 c=9.5609 alpha=77.06 beta=77.06 gamma=90.00
Last column: nearest neighbours and their distance in Å.
Positions (direct):
Na  0.5000  0.5000  0.0000  4 Al 2.85, 4 W 3.03
Na  0.2500  0.7500  0.5000  4 Al 2.85, 4 W 3.03
W  0.0000  0.0000  0.0000  4 Al 2.63
W  0.7500  0.2500  0.5000  4 Al 2.63
Al  0.3750  0.3110  0.7500  2 W 2.63, 2 Al 2.67, 2 Na 2.85
Al  0.6890  0.1250  0.2500  2 W 2.63, 2 Al 2.67, 2 Na 2.85
Al  0.0610  0.6250  0.2500  2 W 2.63, 2 Al 2.67, 2 Na 2.85
Al  0.8750  0.9390  0.7500  2 W 2.63, 2 Al 2.67, 2 Na 2.85

Calculated values
**DFT total energy**: -35.2 eV for the cell shown
**Magnetization**: 1.38 μB per cell